(1)
# BaCdAs2Se, PBEsol geometry, DFT meta-GGA SCAN
data_BaCdAs2Se
_chemical_formula_sum 'Ba1 Cd1 As2 Se1'
_symmetry_space_group_name_H-M 'P 4/m m m'
_symmetry_Int_Tables_number 123
_symmetry_space_group_name_Hall '-P 4 2'
_cell_length_a 5.116
_cell_length_b 5.116
_cell_length_c 5.351
_cell_angle_alpha 90.00
_cell_angle_beta 90.00
_cell_angle_gamma 90.00
loop_
_atom_site_label
_atom_site_fract_x
_atom_site_fract_y
_atom_site_fract_z
Ba1 0.000 0.000 0.000
Cd1 0.500 0.500 0.500
As1 0.000 0.500 0.500
Se1 0.500 0.500 0.000
# * uncorrected formation energy: -269 meV/atom
# * distance to the lowest polymorph of the same formula: 0.0 kJ per mole of atoms
# * volume: 140 Å³ per cell
# * Fermi-level density of states: 0.8359 states/eV per atom

---

(2)
# CoNiRh2, PBEsol geometry, DFT meta-GGA SCAN
data_CoNiRh2
_chemical_formula_sum 'Co2 Ni2 Rh4'
_symmetry_space_group_name_H-M 'I -4 m 2'
_symmetry_Int_Tables_number 119
_symmetry_space_group_name_Hall 'I -4 -2'
_cell_length_a 3.601
_cell_length_b 3.601
_cell_length_c 7.403
_cell_angle_alpha 90.00
_cell_angle_beta 90.00
_cell_angle_gamma 90.00
loop_
_atom_site_label
_atom_site_fract_x
_atom_site_fract_y
_atom_site_fract_z
Co1 0.000 0.000 0.000
Ni1 0.000 0.500 0.750
Rh1 0.000 0.000 0.500
Rh2 0.000 0.500 0.250
# * distance to the lowest polymorph of the same formula: 3.3 kJ per mole of atoms
# * volume: 96 Å³ per cell
# * Fermi-level density of states: 1.1352 states/eV per atom

---

(3)
# Sr2CaZnH, PBEsol geometry, DFT meta-GGA SCAN
data_Sr2CaZnH
_chemical_formula_sum 'Sr2 Ca1 Zn1 H1'
_symmetry_space_group_name_H-M 'P 4/m m m'
_symmetry_Int_Tables_number 123
_symmetry_space_group_name_Hall '-P 4 2'
_cell_length_a 5.368
_cell_length_b 5.368
_cell_length_c 4.655
_cell_angle_alpha 90.00
_cell_angle_beta 90.00
_cell_angle_gamma 90.00
loop_
_atom_site_label
_atom_site_fract_x
_atom_site_fract_y
_atom_site_fract_z
Sr1 0.000 0.500 0.000
Ca1 0.000 0.000 0.500
Zn1 0.500 0.500 0.500
H1 0.000 0.000 0.000
# * total DFT energy (no corrections): -14.375 eV per atom
# * volume: 134 Å³ per cell
# * Fermi-level density of states: 0.6848 states/eV per atom

---

(4)
# TaCd2Os, PBEsol geometry, DFT meta-GGA SCAN
data_TaCd2Os
_chemical_formula_sum 'Ta2 Cd4 Os2'
_symmetry_space_group_name_H-M 'I m m m'
_symmetry_Int_Tables_number 71
_symmetry_space_group_name_Hall '-I 2 2'
_cell_length_a 3.186
_cell_length_b 4.471
_cell_length_c 9.717
_cell_angle_alpha 90.00
_cell_angle_beta 90.00
_cell_angle_gamma 90.00
loop_
_atom_site_label
_atom_site_fract_x
_atom_site_fract_y
_atom_site_fract_z
Ta1 0.000 0.000 0.000
Cd1 0.000 0.500 0.240
Os1 0.000 0.000 0.500
# * distance to the lowest polymorph of the same formula: 22.9 kJ per mole of atoms
# * volume: 138 Å³ per cell
# * Fermi-level density of states: 0.4579 states/eV per atom

---

(5)
# SiMoSe2, PBEsol geometry, DFT meta-GGA SCAN
data_SiMoSe2
_chemical_formula_sum 'Si1 Mo1 Se2'
_symmetry_space_group_name_H-M 'P 4 m m'
_symmetry_Int_Tables_number 99
_cell_length_a 3.164
_cell_length_b 3.164
_cell_length_c 7.055
_cell_angle_alpha 90.00
_cell_angle_beta 90.00
_cell_angle_gamma 90.00
loop_
_symmetry_equiv_pos_as_xyz
'x,y,z'
'-y,x,z'
'-x,-y,z'
'y,-x,z'
'-x,y,z'
'y,x,z'
'x,-y,z'
'-y,-x,z'
loop_
_atom_site_label
_atom_site_fract_x
_atom_site_fract_y
_atom_site_fract_z
Si1 0.000 0.000 0.000
Mo1 0.500 0.500 0.192
Se1 0.000 0.000 0.401
Se2 0.500 0.500 0.816
# * uncorrected formation energy: -117 meV/atom
# * volume: 71 Å³ per cell
# * Fermi-level density of states: 0.4904 states/eV per atom

---

(6)
# YNi2Ag, PBEsol geometry, DFT meta-GGA SCAN
data_YNi2Ag
_chemical_formula_sum 'Y4 Ni8 Ag4'
_symmetry_space_group_name_H-M 'F -4 3 m'
_symmetry_Int_Tables_number 216
_symmetry_space_group_name_Hall 'F -4 2 3'
_cell_length_a 6.344
_cell_length_b 6.344
_cell_length_c 6.344
_cell_angle_alpha 90.00
_cell_angle_beta 90.00
_cell_angle_gamma 90.00
loop_
_atom_site_label
_atom_site_fract_x
_atom_site_fract_y
_atom_site_fract_z
Y1 0.000 0.000 0.000
Ni1 0.000 0.000 0.500
Ni2 0.250 0.250 0.250
Ag1 0.250 0.250 0.750
# * total DFT energy (no corrections): -22.836 eV per atom
# * volume: 255 Å³ per cell
# * Fermi-level density of states: 0.6504 states/eV per atom

---

What is the volume in the first record? 140 Å³ per cell

---

Fermi-level density of states of number 3 (Sr2CaZnH)? 0.6848 states/eV per atom

---

Repeat the third record exactly.
# Sr2CaZnH, PBEsol geometry, DFT meta-GGA SCAN
data_Sr2CaZnH
_chemical_formula_sum 'Sr2 Ca1 Zn1 H1'
_symmetry_space_group_name_H-M 'P 4/m m m'
_symmetry_Int_Tables_number 123
_symmetry_space_group_name_Hall '-P 4 2'
_cell_length_a 5.368
_cell_length_b 5.368
_cell_length_c 4.655
_cell_angle_alpha 90.00
_cell_angle_beta 90.00
_cell_angle_gamma 90.00
loop_
_atom_site_label
_atom_site_fract_x
_atom_site_fract_y
_atom_site_fract_z
Sr1 0.000 0.500 0.000
Ca1 0.000 0.000 0.500
Zn1 0.500 0.500 0.500
H1 0.000 0.000 0.000
# * total DFT energy (no corrections): -14.375 eV per atom
# * volume: 134 Å³ per cell
# * Fermi-level density of states: 0.6848 states/eV per atom